Density functional theory data (GGA-PBE) for crystalline La5NdTm3 at its relaxed geometry.

Properties
- total energy (eV per atom) = -4.51
- DOS(E_F) (states/eV per atom) = 1.509
- E_form (kJ/mol of atoms) = 23.7

POSCAR file:
```
La5NdTm3
1.0
6.611 0.000 0.000
-3.305 10.036 -5.215
0.000 -2.661 11.122
Tm La Nd
6 10 2
direct
0.453 0.319 0.305
0.547 0.681 0.695
0.866 0.319 0.805
0.134 0.681 0.195
0.000 0.000 0.000
0.000 0.000 0.500
0.526 0.661 0.375
0.338 0.339 0.980
0.402 0.000 0.750
0.865 0.339 0.125
0.662 0.661 0.020
0.999 0.661 0.520
0.598 0.000 0.250
0.001 0.339 0.480
0.474 0.339 0.625
0.135 0.661 0.875
0.861 0.000 0.750
0.139 0.000 0.250
```